(1)
This record from Alexandria describes a geometry-optimized Pr2Nd12Dy5 structure. The functional is PBE.

Lattice parameters (Å, degrees): 9.5534 9.5534 8.0430 90.85 90.85 64.67
Atoms (fractional coordinates):
1 Pr 0.2251 0.7749 0.0000
2 Pr 0.7749 0.2251 0.0000
3 Nd 0.0385 0.5776 0.2073
4 Nd 0.1590 0.1590 0.1221
5 Nd 0.1680 0.6207 0.6106
6 Nd 0.3793 0.8320 0.3894
7 Nd 0.4224 0.9615 0.7927
8 Nd 0.4483 0.4483 0.2884
9 Nd 0.5517 0.5517 0.7116
10 Nd 0.5776 0.0385 0.2073
11 Nd 0.6207 0.1680 0.6106
12 Nd 0.8320 0.3793 0.3894
13 Nd 0.8410 0.8410 0.8779
14 Nd 0.9615 0.4224 0.7927
15 Dy 0.0000 0.0000 0.5000
16 Dy 0.2470 0.2470 0.4905
17 Dy 0.3520 0.3520 0.9159
18 Dy 0.6480 0.6480 0.0841
19 Dy 0.7530 0.7530 0.5095

ΔE to the lowest computed polymorph   27 meV per atom
ρ   7.07 g cm⁻³
Symmetry   C2/m
Crystal system   monoclinic



(2)
This record from Alexandria describes a geometry-optimized PrNd3Dy7 structure. The functional is PBE.

Lattice parameters (Å, degrees): 6.5600 6.6954 8.6883 98.77 99.06 95.02
Atoms (fractional coordinates):
1 Pr 0.0000 0.0000 0.0000
2 Nd 0.2982 0.4366 0.3406
3 Nd 0.5000 0.0000 0.5000
4 Nd 0.7018 0.5634 0.6594
5 Dy 0.0000 0.5000 0.0000
6 Dy 0.0566 0.2066 0.6427
7 Dy 0.2294 0.7207 0.7163
8 Dy 0.4857 0.2374 0.9138
9 Dy 0.5143 0.7626 0.0862
10 Dy 0.7706 0.2793 0.2837
11 Dy 0.9434 0.7934 0.3573

ΔE to the lowest computed polymorph   0 meV per atom
ρ   7.68 g cm⁻³
Symmetry   P-1
Crystal system   triclinic



(3)
This record from Alexandria describes a geometry-optimized Pr7Nd12Dy structure. The functional is PBE.

Lattice parameters (Å, degrees): 10.1393 10.1393 10.1393 109.47 109.47 109.47
Atoms (fractional coordinates):
1 Pr 0.0000 0.0000 0.5000
2 Pr 0.0000 0.5000 0.0000
3 Pr 0.0000 0.5000 0.5000
4 Pr 0.5000 0.0000 0.0000
5 Pr 0.5000 0.0000 0.5000
6 Pr 0.5000 0.5000 0.0000
7 Pr 0.5000 0.5000 0.5000
8 Nd 0.0008 0.2470 0.7538
9 Nd 0.2462 0.4932 0.2470
10 Nd 0.2462 0.9992 0.7530
11 Nd 0.2470 0.2462 0.4932
12 Nd 0.2470 0.7538 0.0008
13 Nd 0.4932 0.2470 0.2462
14 Nd 0.5068 0.7530 0.7538
15 Nd 0.7530 0.2462 0.9992
16 Nd 0.7530 0.7538 0.5068
17 Nd 0.7538 0.0008 0.2470
18 Nd 0.7538 0.5068 0.7530
19 Nd 0.9992 0.7530 0.2462
20 Dy 0.0000 0.0000 0.0000

ΔE to the lowest computed polymorph   379 meV per atom
ρ   5.96 g cm⁻³
Symmetry   Im-3
Crystal system   cubic



(4)
This record from Alexandria describes a geometry-optimized Pr7NdDy12 structure. The functional is PBE.

Lattice parameters (Å, degrees): 9.8504 9.8504 9.8504 109.47 109.47 109.47
Atoms (fractional coordinates):
1 Pr 0.0000 0.0000 0.5000
2 Pr 0.0000 0.5000 0.0000
3 Pr 0.0000 0.5000 0.5000
4 Pr 0.5000 0.0000 0.0000
5 Pr 0.5000 0.0000 0.5000
6 Pr 0.5000 0.5000 0.0000
7 Pr 0.5000 0.5000 0.5000
8 Nd 0.0000 0.0000 0.0000
9 Dy 0.0000 0.2492 0.7508
10 Dy 0.0000 0.7508 0.2492
11 Dy 0.2492 0.0000 0.7508
12 Dy 0.2492 0.2492 0.4984
13 Dy 0.2492 0.4984 0.2492
14 Dy 0.2492 0.7508 0.0000
15 Dy 0.4984 0.2492 0.2492
16 Dy 0.5016 0.7508 0.7508
17 Dy 0.7508 0.0000 0.2492
18 Dy 0.7508 0.2492 0.0000
19 Dy 0.7508 0.5016 0.7508
20 Dy 0.7508 0.7508 0.5016

ΔE to the lowest computed polymorph   390 meV per atom
ρ   6.95 g cm⁻³
Symmetry   Im-3m
Crystal system   cubic



(5)
This record from Alexandria describes a geometry-optimized Pr5NdDy2 structure. The functional is PBE.

Lattice parameters (Å, degrees): 9.8994 9.8994 6.6403 98.08 98.08 61.74
Atoms (fractional coordinates):
1 Pr 0.0564 0.9436 0.7500
2 Pr 0.1150 0.2895 0.0194
3 Pr 0.2895 0.1150 0.5194
4 Pr 0.3101 0.5005 0.8577
5 Pr 0.4995 0.6899 0.6423
6 Pr 0.5005 0.3101 0.3577
7 Pr 0.6899 0.4995 0.1423
8 Pr 0.7105 0.8850 0.4806
9 Pr 0.8850 0.7105 0.9806
10 Pr 0.9436 0.0564 0.2500
11 Nd 0.0000 0.5000 0.5000
12 Nd 0.5000 0.0000 0.0000
13 Dy 0.1763 0.6660 0.3677
14 Dy 0.3340 0.8237 0.1323
15 Dy 0.6660 0.1763 0.8677
16 Dy 0.8237 0.3340 0.6323

ΔE to the lowest computed polymorph   133 meV per atom
ρ   6.89 g cm⁻³
Symmetry   C2/c
Crystal system   monoclinic



(6)
This record from Alexandria describes a geometry-optimized Pr4NdDy structure. The functional is PBE.

Lattice parameters (Å, degrees): 6.2333 6.2333 11.7793 118.28 118.28 32.79
Atoms (fractional coordinates):
1 Pr 0.1863 0.1863 0.3417
2 Pr 0.1892 0.1892 0.8457
3 Pr 0.8108 0.8108 0.1543
4 Pr 0.8137 0.8137 0.6583
5 Nd 0.0000 0.0000 0.5000
6 Dy 0.0000 0.0000 0.0000

ΔE to the lowest computed polymorph   155 meV per atom
ρ   6.71 g cm⁻³
Symmetry   C2/m
Crystal system   monoclinic



(7)
This record from Alexandria describes a geometry-optimized PrNdDy4 structure. The functional is PBE.

Lattice parameters (Å, degrees): 6.6518 6.6518 6.6518 60.00 60.00 60.00
Atoms (fractional coordinates):
1 Pr 0.0000 0.0000 0.0000
2 Nd 0.2500 0.2500 0.2500
3 Dy 0.1253 0.6249 0.6249
4 Dy 0.6249 0.1253 0.6249
5 Dy 0.6249 0.6249 0.1253
6 Dy 0.6249 0.6249 0.6249

ΔE to the lowest computed polymorph   263 meV per atom
ρ   7.46 g cm⁻³
Symmetry   F-43m
Crystal system   cubic



(8)
This record from Alexandria describes a geometry-optimized Pr2Nd2Dy structure. The functional is PBE.

Lattice parameters (Å, degrees): 8.9470 8.9470 6.4015 90.00 90.00 134.07
Atoms (fractional coordinates):
1 Pr 0.0952 0.9048 0.7500
2 Pr 0.3305 0.6695 0.2500
3 Pr 0.6695 0.3305 0.7500
4 Pr 0.9048 0.0952 0.2500
5 Nd 0.0923 0.4303 0.7500
6 Nd 0.4303 0.0923 0.2500
7 Nd 0.5697 0.9077 0.7500
8 Nd 0.9077 0.5697 0.2500
9 Dy 0.5000 0.5000 0.0000
10 Dy 0.5000 0.5000 0.5000

ΔE to the lowest computed polymorph   135 meV per atom
ρ   6.61 g cm⁻³
Symmetry   Cmcm
Crystal system   orthorhombic



(9)
This record from Alexandria describes a geometry-optimized Pr3Nd4Dy3 structure. The functional is PBE.

Lattice parameters (Å, degrees): 3.8303 9.5419 9.5419 89.45 90.00 90.00
Atoms (fractional coordinates):
1 Pr 0.0000 0.0000 0.0000
2 Pr 0.0000 0.4994 0.8397
3 Pr 0.0000 0.8397 0.4994
4 Nd 0.5000 0.0431 0.3020
5 Nd 0.5000 0.3020 0.0431
6 Nd 0.5000 0.5376 0.5376
7 Nd 0.5000 0.8007 0.8007
8 Dy 0.0000 0.3407 0.3407
9 Dy 0.5000 0.1729 0.6652
10 Dy 0.5000 0.6652 0.1729

ρ   7.08 g cm⁻³
Symmetry   Amm2
Uncorrected energy   -4.606 eV per atom
Crystal system   orthorhombic



(10)
This record from Alexandria describes a geometry-optimized PrNd2Dy7 structure. The functional is PBE.

Lattice parameters (Å, degrees): 14.8836 14.8836 3.5134 90.00 90.00 154.55
Atoms (fractional coordinates):
1 Pr 0.0000 0.0000 0.0000
2 Nd 0.2930 0.7070 0.5000
3 Nd 0.7070 0.2930 0.5000
4 Dy 0.1484 0.3467 0.5000
5 Dy 0.1859 0.8141 0.0000
6 Dy 0.3467 0.1484 0.5000
7 Dy 0.5000 0.5000 0.5000
8 Dy 0.6533 0.8516 0.5000
9 Dy 0.8141 0.1859 0.0000
10 Dy 0.8516 0.6533 0.5000

ΔE to the lowest computed polymorph   148 meV per atom
ρ   7.78 g cm⁻³
Symmetry   Cmmm
Crystal system   orthorhombic



(11)
This record from Alexandria describes a geometry-optimized Pr9Nd2Dy3 structure. The functional is PBE.

Lattice parameters (Å, degrees): 9.2304 9.2304 13.9590 90.00 90.00 120.00
Atoms (fractional coordinates):
1 Pr 0.0805 0.4814 0.2500
2 Pr 0.1297 0.7250 0.0397
3 Pr 0.1297 0.7250 0.4603
4 Pr 0.2750 0.4047 0.0397
5 Pr 0.2750 0.4047 0.4603
6 Pr 0.4010 0.9195 0.2500
7 Pr 0.4047 0.1297 0.5397
8 Pr 0.4047 0.1297 0.9603
9 Pr 0.4814 0.4010 0.7500
10 Pr 0.5186 0.5990 0.2500
11 Pr 0.5953 0.8703 0.0397
12 Pr 0.5953 0.8703 0.4603
13 Pr 0.5990 0.0805 0.7500
14 Pr 0.7250 0.5953 0.5397
15 Pr 0.7250 0.5953 0.9603
16 Pr 0.8703 0.2750 0.5397
17 Pr 0.8703 0.2750 0.9603
18 Pr 0.9195 0.5186 0.7500
19 Nd 0.3333 0.6667 0.6409
20 Nd 0.3333 0.6667 0.8591
21 Nd 0.6667 0.3333 0.1409
22 Nd 0.6667 0.3333 0.3591
23 Dy 0.0767 0.2479 0.7500
24 Dy 0.1712 0.9233 0.7500
25 Dy 0.2479 0.1712 0.2500
26 Dy 0.7521 0.8288 0.7500
27 Dy 0.8288 0.0767 0.2500
28 Dy 0.9233 0.7521 0.2500

ρ   6.59 g cm⁻³
Symmetry   P6_3/m
Uncorrected energy   -4.504 eV per atom
Crystal system   hexagonal



(12)
This record from Alexandria describes a geometry-optimized PrNd4Dy15 structure. The functional is PBE.

Lattice parameters (Å, degrees): 5.0676 5.0676 25.2126 90.00 90.00 90.00
Atoms (fractional coordinates):
1 Pr 0.0000 0.0000 0.0000
2 Nd 0.0000 0.0000 0.2001
3 Nd 0.0000 0.0000 0.4000
4 Nd 0.0000 0.0000 0.6000
5 Nd 0.0000 0.0000 0.7999
6 Dy 0.0000 0.5000 0.1003
7 Dy 0.0000 0.5000 0.3001
8 Dy 0.0000 0.5000 0.5000
9 Dy 0.0000 0.5000 0.6999
10 Dy 0.0000 0.5000 0.8997
11 Dy 0.5000 0.0000 0.1003
12 Dy 0.5000 0.0000 0.3001
13 Dy 0.5000 0.0000 0.5000
14 Dy 0.5000 0.0000 0.6999
15 Dy 0.5000 0.0000 0.8997
16 Dy 0.5000 0.5000 0.0000
17 Dy 0.5000 0.5000 0.2002
18 Dy 0.5000 0.5000 0.4000
19 Dy 0.5000 0.5000 0.6000
20 Dy 0.5000 0.5000 0.7998

ρ   8.09 g cm⁻³
Symmetry   P4/mmm
Uncorrected energy   -4.625 eV per atom
Crystal system   tetragonal